DFT (PBE) results for an optimized crystal structure of SrTaZn.

a = 5.2148 Å, b = 5.2148 Å, c = 5.2148 Å
α = 60.00°, β = 60.00°, γ = 60.00°
With the nearest neighbours (Å) after each atom.
Sites, in units of the cell vectors:
Ta 0.0000 0.0000 0.0000  4 Sr 3.19
Zn 0.5000 0.5000 0.5000  4 Sr 3.19
Sr 0.7500 0.7500 0.7500  4 Zn 3.19, 4 Ta 3.19

Properties
The total moment is 4.10 Bohr magnetons per cell. The calculation puts the energy above the most stable polymorph in this dataset at 1331 meV/atom. The formation energy from the elements comes out at 1.823 eV per atom.

---

DFT (PBE) results for an optimized crystal structure of SrMo2Os.

a = 4.8632 Å, b = 4.8632 Å, c = 3.0069 Å
α = 90.00°, β = 90.00°, γ = 90.00°
With the nearest neighbours (Å) after each atom.
Sites, in units of the cell vectors:
Mo 0.5000 0.5000 0.0000  4 Os 2.86, 4 Sr 2.86, 2 Mo 3.01
Sr 0.0000 0.5000 0.5000  8 Mo 2.86, 2 Sr 3.01
Os 0.5000 0.0000 0.5000  8 Mo 2.86, 2 Os 3.01
Mo 0.0000 0.0000 0.0000  4 Os 2.86, 4 Sr 2.86, 2 Mo 3.01

Properties
The total moment is 0.00 Bohr magnetons per cell. The calculation puts the energy above the most stable polymorph in this dataset at 530 meV/atom. The formation energy from the elements comes out at 1.154 eV per atom.

---

DFT (PBE) results for an optimized crystal structure of LiMgHg5.

a = 5.1777 Å, b = 5.1835 Å, c = 12.4384 Å
α = 94.37°, β = 85.60°, γ = 81.08°
With the nearest neighbours (Å) after each atom.
Sites, in units of the cell vectors:
Hg 0.1363 0.4635 0.1034  2 Li 2.85-3.16, 2 Mg 2.99-3.07, 3 Hg 3.05-3.17
Mg 0.6166 0.3862 0.2231  7 Hg 2.88-3.07
Hg 0.8247 0.5647 0.6052  2 Li 2.92-3.08, 1 Mg 2.97, 3 Hg 3.04-3.07
Hg 0.5350 0.8697 0.1053  2 Li 2.85-3.16, 2 Mg 2.99-3.06, 3 Hg 3.06-3.17
Hg 0.0266 0.9690 0.2600  1 Mg 2.88, 1 Li 2.97, 4 Hg 3.07-3.09
Li 0.0000 0.0000 0.0000  8 Hg 2.85-3.16
Hg 0.9734 0.0310 0.7400  1 Mg 2.88, 1 Li 2.97, 4 Hg 3.07-3.09
Hg 0.4368 0.1807 0.6028  2 Li 2.92-3.07, 1 Mg 2.96, 3 Hg 3.02-3.07
Hg 0.4650 0.1303 0.8947  2 Li 2.85-3.16, 2 Mg 2.99-3.06, 3 Hg 3.06-3.17
Hg 0.1753 0.4353 0.3948  2 Li 2.92-3.08, 1 Mg 2.97, 3 Hg 3.04-3.07
Mg 0.3834 0.6138 0.7769  7 Hg 2.88-3.07
Li 0.0000 0.0000 0.5000  10 Hg 2.92-3.08
Hg 0.5632 0.8193 0.3972  2 Li 2.92-3.07, 1 Mg 2.96, 3 Hg 3.02-3.07
Hg 0.8637 0.5365 0.8966  2 Li 2.85-3.16, 2 Mg 2.99-3.07, 3 Hg 3.05-3.17

Properties
The total moment is 0.00 Bohr magnetons per cell. The formation energy from the elements comes out at -0.135 eV per atom.

---

DFT (PBE) results for an optimized crystal structure of PaCoS2.

a = 5.6716 Å, b = 5.4798 Å, c = 9.1695 Å
α = 90.00°, β = 90.00°, γ = 90.00°
With the nearest neighbours (Å) after each atom.
Sites, in units of the cell vectors:
S 0.1096 0.4692 0.8284  2 Co 2.20-2.29
Co 0.9357 0.1200 0.8778  4 S 2.17-2.29
S 0.0623 0.9345 0.0844  2 Co 2.17-2.27
Pa 0.1421 0.4310 0.1193  5 S 2.68-2.81, 2 Co 2.91-2.97
S 0.1096 0.9692 0.6716  2 Co 2.20-2.29
Co 0.9357 0.6200 0.6222  4 S 2.17-2.29
S 0.0623 0.4345 0.4156  2 Co 2.17-2.27
Pa 0.1421 0.9310 0.3807  5 S 2.68-2.81, 2 Co 2.91-2.97
Co 0.4357 0.8800 0.1222  4 S 2.17-2.29
Pa 0.6421 0.0690 0.6193  5 S 2.68-2.81, 2 Co 2.91-2.97
Pa 0.6421 0.5690 0.8807  5 S 2.68-2.81, 2 Co 2.91-2.97
Co 0.4357 0.3800 0.3778  4 S 2.17-2.29
S 0.5623 0.5655 0.5844  2 Co 2.17-2.27
S 0.5623 0.0655 0.9156  2 Co 2.17-2.27
S 0.6096 0.5308 0.1716  2 Co 2.20-2.29
S 0.6096 0.0308 0.3284  2 Co 2.20-2.29

Properties
The total moment is 0.00 Bohr magnetons per cell. The calculation puts the energy above the most stable polymorph in this dataset at 0 meV/atom.

---

DFT (PBE) results for an optimized crystal structure of CeSc3In.

a = 5.2795 Å, b = 5.2649 Å, c = 9.0999 Å
α = 90.00°, β = 73.14°, γ = 90.00°
With the nearest neighbours (Å) after each atom.
Sites, in units of the cell vectors:
Sc 0.3724 0.2500 0.9035  4 Sc 3.12-3.13, 3 Ce 3.16-3.43, 2 In 3.17
Sc 0.2759 0.7500 0.0965  4 Sc 3.12-3.13, 3 Ce 3.16-3.43, 2 In 3.17
Sc 0.0735 0.7500 0.5014  4 In 3.16-3.18, 4 Ce 3.17-3.18, 2 Sc 3.50-3.53
Sc 0.8723 0.7500 0.9037  4 Sc 3.12-3.13, 2 Ce 3.17, 3 In 3.17-3.44
Sc 0.5749 0.2500 0.4986  4 In 3.16-3.18, 4 Ce 3.17-3.18, 2 Sc 3.50-3.53
In 0.9733 0.2500 0.7017  9 Sc 3.16-3.44, 1 Ce 3.52
In 0.6750 0.7500 0.2983  9 Sc 3.16-3.44, 1 Ce 3.52
Ce 0.4727 0.7500 0.7030  9 Sc 3.16-3.43, 1 In 3.52
Sc 0.7760 0.2500 0.0963  4 Sc 3.12-3.13, 2 Ce 3.17, 3 In 3.17-3.44
Ce 0.1757 0.2500 0.2970  9 Sc 3.16-3.43, 1 In 3.52

Properties
The total moment is 2.12 Bohr magnetons per cell. The calculation puts the energy above the most stable polymorph in this dataset at 0 meV/atom. The formation energy from the elements comes out at -0.091 eV per atom.

---

DFT (PBE) results for an optimized crystal structure of TaSb2Cl.

a = 3.6343 Å, b = 3.6343 Å, c = 9.3118 Å
α = 100.73°, β = 100.73°, γ = 59.92°
With the nearest neighbours (Å) after each atom.
Sites, in units of the cell vectors:
Sb 0.1493 0.1493 0.9573  1 Cl 2.66, 3 Ta 2.82
Sb 0.3507 0.3507 0.5427  1 Cl 2.66, 3 Ta 2.82
Ta 0.7500 0.7500 0.7500  6 Sb 2.82
Cl 0.2500 0.2500 0.2500  2 Sb 2.66

Properties
The total moment is 0.00 Bohr magnetons per cell. The calculation puts the energy above the most stable polymorph in this dataset at 140 meV/atom.

---

Question: The highest total moment belongs to which entry?
Answer: SrTaZn